Record 1
Computed, not measured: crystalline GdTlO3 at its relaxed geometry at the PBE level of DFT.

```
data_GdTlO3
_symmetry_space_group_name_H-M 'P 1'
_symmetry_Int_Tables_number 1
_cell_length_a 4.159
_cell_length_b 4.159
_cell_length_c 4.815
_cell_angle_alpha 90.00
_cell_angle_beta 90.00
_cell_angle_gamma 90.00
loop_
_symmetry_equiv_pos_as_xyz
'x,y,z'
loop_
_atom_site_label
_atom_site_fract_x
_atom_site_fract_y
_atom_site_fract_z
O1 0.000 0.500 0.685
O2 0.500 0.000 0.685
Tl1 0.000 0.000 0.921
O3 0.500 0.500 0.076
Gd1 0.500 0.500 0.532
```

M_tot, μB/cell: 0.122
Space group: No. 99
E_tot, eV/atom: -5.987
Crystal system: tetragonal
V, Å³ per cell: 83.31


Record 2
Computed, not measured: crystalline NdPuBr3N at its relaxed geometry at the PBE level of DFT.

```
data_NdPuBr3N
_symmetry_space_group_name_H-M 'P 1'
_symmetry_Int_Tables_number 1
_cell_length_a 9.217
_cell_length_b 9.217
_cell_length_c 11.531
_cell_angle_alpha 122.52
_cell_angle_beta 122.52
_cell_angle_gamma 24.69
loop_
_symmetry_equiv_pos_as_xyz
'x,y,z'
loop_
_atom_site_label
_atom_site_fract_x
_atom_site_fract_y
_atom_site_fract_z
Nd1 0.420 0.420 0.543
Br1 0.959 0.959 0.761
Pu1 0.866 0.866 0.216
N1 0.577 0.577 0.659
Br2 0.041 0.041 0.239
N2 0.423 0.423 0.341
Br3 0.334 0.334 0.991
Br4 0.776 0.776 0.376
Pu2 0.134 0.134 0.784
Br5 0.224 0.224 0.624
Nd2 0.580 0.580 0.457
Br6 0.666 0.666 0.009
```

M_tot, μB/cell: 9.989
Space group: No. 12
E_tot, eV/atom: -7.011
Crystal system: monoclinic
V, Å³ per cell: 341.67


Record 3
Computed, not measured: crystalline ReTcNiSb at its relaxed geometry at the PBE level of DFT.

```
data_ReTcNiSb
_symmetry_space_group_name_H-M 'P 1'
_symmetry_Int_Tables_number 1
_cell_length_a 4.406
_cell_length_b 4.406
_cell_length_c 4.406
_cell_angle_alpha 60.00
_cell_angle_beta 60.00
_cell_angle_gamma 60.00
loop_
_symmetry_equiv_pos_as_xyz
'x,y,z'
loop_
_atom_site_label
_atom_site_fract_x
_atom_site_fract_y
_atom_site_fract_z
Tc1 0.250 0.250 0.250
Re1 0.500 0.500 0.500
Ni1 0.750 0.750 0.750
Sb1 0.000 0.000 0.000
```

M_tot, μB/cell: 0.006
Space group: No. 216
E_tot, eV/atom: -7.719
Crystal system: cubic
V, Å³ per cell: 60.49


Record 4
Computed, not measured: crystalline Ac2Si3Ag at its relaxed geometry at the PBE level of DFT.

```
data_Ac2Si3Ag
_symmetry_space_group_name_H-M 'P 1'
_symmetry_Int_Tables_number 1
_cell_length_a 8.709
_cell_length_b 8.517
_cell_length_c 6.310
_cell_angle_alpha 70.14
_cell_angle_beta 66.90
_cell_angle_gamma 42.96
loop_
_symmetry_equiv_pos_as_xyz
'x,y,z'
loop_
_atom_site_label
_atom_site_fract_x
_atom_site_fract_y
_atom_site_fract_z
Si1 0.162 0.675 0.838
Ac1 0.756 0.244 0.756
Ag1 0.334 0.334 0.666
Si2 0.325 0.838 0.675
Si3 0.837 0.837 0.163
Ag2 0.666 0.666 0.334
Ac2 0.250 0.250 0.250
Si4 0.163 0.163 0.837
Si5 0.675 0.162 0.325
Ac3 0.750 0.750 0.750
Si6 0.838 0.325 0.162
Ac4 0.244 0.756 0.244
```

M_tot, μB/cell: 0.001
Space group: No. 69
E_tot, eV/atom: -5.157
Crystal system: orthorhombic
V, Å³ per cell: 292.36


Record 5
Computed, not measured: crystalline Nd2PS at its relaxed geometry at the PBE level of DFT.

```
data_Nd2PS
_symmetry_space_group_name_H-M 'P 1'
_symmetry_Int_Tables_number 1
_cell_length_a 4.118
_cell_length_b 4.118
_cell_length_c 5.813
_cell_angle_alpha 90.00
_cell_angle_beta 90.00
_cell_angle_gamma 90.00
loop_
_symmetry_equiv_pos_as_xyz
'x,y,z'
loop_
_atom_site_label
_atom_site_fract_x
_atom_site_fract_y
_atom_site_fract_z
P1 0.000 0.000 0.000
Nd1 0.000 0.000 0.500
Nd2 0.500 0.500 0.000
S1 0.500 0.500 0.500
```

M_tot, μB/cell: 0.006
Space group: No. 123
E_tot, eV/atom: -6.608
Excess energy over the best structure of this formula in the dataset, meV per atom: 7
Crystal system: tetragonal
V, Å³ per cell: 98.57


Record 6
Computed, not measured: crystalline Zn2FeOs at its relaxed geometry at the PBE level of DFT.

```
data_Zn2FeOs
_symmetry_space_group_name_H-M 'P 1'
_symmetry_Int_Tables_number 1
_cell_length_a 4.229
_cell_length_b 4.229
_cell_length_c 4.229
_cell_angle_alpha 60.00
_cell_angle_beta 60.00
_cell_angle_gamma 60.00
loop_
_symmetry_equiv_pos_as_xyz
'x,y,z'
loop_
_atom_site_label
_atom_site_fract_x
_atom_site_fract_y
_atom_site_fract_z
Os1 0.250 0.250 0.250
Fe1 0.750 0.750 0.750
Zn1 0.500 0.500 0.500
Zn2 0.000 0.000 0.000
```

M_tot, μB/cell: 3.005
Space group: No. 225
E_tot, eV/atom: -5.252
Excess energy over the best structure of this formula in the dataset, meV per atom: 76
Crystal system: cubic
E_form, eV per atom: 0.264
V, Å³ per cell: 53.49


The lowest E_tot belongs to which entry?
ReTcNiSb